(1)
This record from Alexandria via LeMat-Bulk describes crystalline Tm2ScCd2 at its relaxed geometry. The functional is PBE. Values from VASP.

Summary:
Offset from the most stable computed form in eV per formula unit: 0.000
Formation energy from the elements in eV per atom: -0.2256
Space-group type: Cmcm
Fermi-level density of states in states/eV per cell: 8.031

```
&SYSTEM
  ibrav = 0, nat = 10, ntyp = 3
/
ATOMIC_SPECIES
Tm 168.93 Tm.upf
Sc 44.96 Sc.upf
Cd 112.41 Cd.upf
CELL_PARAMETERS angstrom
3.5780 0.0000 -0.4804
0.0000 5.1591 0.0000
-0.0156 0.0000 13.5064
ATOMIC_POSITIONS crystal
Tm 0.0445 0.7500 0.0890
Tm 0.9555 0.2500 0.9110
Tm 0.2366 0.7500 0.4737
Tm 0.7634 0.2500 0.5263
Sc 0.8482 0.7500 0.6967
Sc 0.1518 0.2500 0.3033
Cd 0.6413 0.7500 0.2823
Cd 0.3587 0.2500 0.7177
Cd 0.4432 0.7500 0.8863
Cd 0.5568 0.2500 0.1137
```


(2)
This record from Alexandria via LeMat-Bulk describes crystalline Tm2ScCd at its relaxed geometry. The functional is PBE. Values from VASP.

Summary:
Offset from the most stable computed form in eV per formula unit: 0.000
Formation energy from the elements in eV per atom: -0.1342
Space-group type: P4/mmm
Fermi-level density of states in states/eV per cell: 5.069

```
&SYSTEM
  ibrav = 0, nat = 4, ntyp = 3
/
ATOMIC_SPECIES
Sc 44.96 Sc.upf
Tm 168.93 Tm.upf
Cd 112.41 Cd.upf
CELL_PARAMETERS angstrom
-0.7321 -2.3043 2.5330
-2.0658 -1.7686 -2.2060
6.7270 -4.8169 -2.4376
ATOMIC_POSITIONS crystal
Sc 0.5000 0.5000 0.5000
Tm 0.0000 0.0000 0.7582
Tm 0.0000 0.0000 0.2418
Cd 0.5000 0.5000 0.0000
```


(3)
This record from Alexandria via LeMat-Bulk describes crystalline TmSc2Cd5 at its relaxed geometry. The functional is PBE. Values from VASP.

Summary:
Formation energy from the elements in eV per atom: -0.2620
Space-group type: I4/mmm
Fermi-level density of states in states/eV per cell: 4.321

```
&SYSTEM
  ibrav = 0, nat = 8, ntyp = 3
/
ATOMIC_SPECIES
Tm 168.93 Tm.upf
Sc 44.96 Sc.upf
Cd 112.41 Cd.upf
CELL_PARAMETERS angstrom
4.9781 0.0000 0.0000
0.0000 4.9781 0.0000
-2.4891 -2.4891 7.2548
ATOMIC_POSITIONS crystal
Tm 0.0000 0.0000 0.0000
Sc 0.7421 0.7421 0.4841
Sc 0.2579 0.2579 0.5159
Cd 0.5000 0.5000 0.0000
Cd 0.8724 0.3724 0.7447
Cd 0.3724 0.8724 0.7447
Cd 0.1276 0.6276 0.2553
Cd 0.6276 0.1276 0.2553
```


no.,uncorrected energy (eV/cell)
1,-36.5
2,-16.7
3,-23.8